CeErRu GGA-PBE relaxed; crystal system = cubic; total energy = -6.79 eV/atom; SG = F-43m, No. 216
1.0
4.7835 0.0000 0.0000
2.3918 4.1427 0.0000
2.3918 1.3809 3.9057
Er Ce Ru
1 1 1
direct
0.0000 0.0000 0.0000 Er
0.5000 0.5000 0.5000 Ce
0.2500 0.2500 0.2500 Ru

---

Ce2ErRu2 GGA-PBE relaxed; crystal system = triclinic; total energy = -7.31 eV/atom; SG = P-1, No. 2
1.0
0.4798 1.0472 4.5636
6.3504 -0.7487 2.7227
1.0646 8.6785 1.9142
Ce Ru Er
4 4 2
direct
0.1426 0.7177 0.9119 Ce
0.8574 0.2823 0.0880 Ce
0.9452 0.3938 0.6875 Ce
0.0548 0.6062 0.3125 Ce
0.4993 0.2088 0.9927 Ru
0.5241 0.3109 0.4619 Ru
0.5007 0.7912 0.0073 Ru
0.4759 0.6891 0.5381 Ru
0.3134 0.0382 0.3280 Er
0.6866 0.9619 0.6720 Er

---

CeErRu GGA-PBE relaxed; crystal system = trigonal; total energy = -6.70 eV/atom; SG = P3m1, No. 156
1.0
3.4218 0.0000 0.0000
0.0000 4.7297 0.0000
0.0000 -2.3648 4.0960
Er Ce Ru
1 1 1
direct
0.6316 0.3333 0.6667 Er
0.0445 0.0000 0.0000 Ce
0.3239 0.6667 0.3333 Ru

---

Ce2Er2Ru3 GGA-PBE relaxed; crystal system = monoclinic; total energy = -7.33 eV/atom; SG = C2/m, No. 12
1.0
4.6368 -0.0046 0.0009
-2.3125 5.4480 -0.2883
-0.0035 -1.0487 6.8341
Ce Ru Er
2 3 2
direct
0.8707 0.7419 0.6305 Ce
0.1293 0.2581 0.3695 Ce
0.8241 0.6480 0.2938 Ru
0.1759 0.3520 0.7062 Ru
0.0000 0.0000 0.0000 Ru
0.3647 0.7294 0.0807 Er
0.6353 0.2706 0.9193 Er

---

CeErRu GGA-PBE relaxed; crystal system = orthorhombic; total energy = -6.97 eV/atom; SG = Pnma, No. 62
1.0
-3.7254 -3.1936 1.3689
3.3138 -1.2127 6.1893
-4.0610 6.1891 3.3869
Ru Er Ce
4 4 4
direct
0.7500 0.7676 0.9462 Ru
0.2500 0.7324 0.4462 Ru
0.7500 0.2676 0.5538 Ru
0.2500 0.2324 0.0538 Ru
0.2500 0.1357 0.4052 Er
0.7500 0.3643 0.9052 Er
0.2500 0.6357 0.0948 Er
0.7500 0.8643 0.5948 Er
0.2500 0.5301 0.6675 Ce
0.7500 0.9699 0.1675 Ce
0.7500 0.4699 0.3325 Ce
0.2500 0.0301 0.8325 Ce

---

CeEr3Ru8 GGA-PBE relaxed; crystal system = trigonal; total energy = -8.13 eV/atom; SG = R3m, No. 160
1.0
5.0905 0.0000 1.5367
2.3133 4.5345 1.5367
-0.0199 -0.0122 9.2657
Ce Ru Er
1 8 3
direct
0.8747 0.8747 0.3758 Ce
0.4377 0.9395 0.1851 Ru
0.9395 0.4377 0.1851 Ru
0.9377 0.4347 0.6899 Ru
0.4377 0.4377 0.1851 Ru
0.4347 0.9377 0.6899 Ru
0.6876 0.6876 0.9372 Ru
0.1874 0.1874 0.4379 Ru
0.9377 0.9377 0.6899 Ru
0.4997 0.4997 0.5010 Er
0.0002 0.0002 0.9993 Er
0.3754 0.3754 0.8739 Er

---

CeErRu GGA-PBE relaxed; crystal system = tetragonal; total energy = -6.86 eV/atom; SG = I4mm, No. 107
1.0
3.3627 0.0000 0.0000
0.0000 3.3627 0.0000
-1.6814 -1.6814 6.5389
Ru Er Ce
1 1 1
direct
0.3336 0.3336 0.6673 Ru
0.9630 0.9630 0.9260 Er
0.7034 0.7034 0.4067 Ce

---

CeErRu GGA-PBE relaxed; crystal system = tetragonal; total energy = -6.90 eV/atom; SG = P4/nmm, No. 129
1.0
-4.4963 1.3394 -0.3171
-1.2671 -3.6049 2.7405
0.7735 3.8937 5.4796
Ce Er Ru
2 2 2
direct
0.0000 0.5000 0.8911 Ce
0.5000 0.0000 0.1089 Ce
0.5000 0.5000 0.5000 Er
0.0000 0.0000 0.5000 Er
0.5000 0.0000 0.7672 Ru
0.0000 0.5000 0.2328 Ru

---

For each record above, in turn, the calculated DOS at the Fermi energy values are 6.38 12.39 5.07 5.09 16.00 11.17 5.14 11.42 states/eV/cell.
For each record above, in turn, the calculated formation energy values are -0.20 -0.32 -0.11 -0.36 -0.38 -0.31 -0.27 -0.31 eV per atom.